First-principles (PBE-GGA) data for an optimized crystal structure of Sr3Ga2Rh3, as listed in Alexandria.

Cell: 8.1612 15.0220 6.1479 Å, 90.00 90.00 90.00°
With the nearest neighbours (Å) after each atom.
Fractional coordinates of all 32 atoms:
Sr (0.0269, 0.1073, 0.1378)  5 Rh 3.09-3.37, 3 Ga 3.26-3.38
Sr (0.0269, 0.3927, 0.1378)  5 Rh 3.09-3.37, 3 Ga 3.26-3.38
Sr (0.1717, 0.2500, 0.5986)  4 Rh 2.99-3.17, 2 Ga 3.29
Sr (0.3283, 0.7500, 0.0986)  4 Rh 2.99-3.17, 2 Ga 3.29
Sr (0.4731, 0.6073, 0.6378)  5 Rh 3.09-3.37, 3 Ga 3.26-3.38
Sr (0.4731, 0.8927, 0.6378)  5 Rh 3.09-3.37, 3 Ga 3.26-3.38
Sr (0.5269, 0.1073, 0.3622)  5 Rh 3.09-3.37, 3 Ga 3.26-3.38
Sr (0.5269, 0.3927, 0.3622)  5 Rh 3.09-3.37, 3 Ga 3.26-3.38
Sr (0.6717, 0.2500, 0.9014)  4 Rh 2.99-3.17, 2 Ga 3.29
Sr (0.8283, 0.7500, 0.4014)  4 Rh 2.99-3.17, 2 Ga 3.29
Sr (0.9731, 0.6073, 0.8622)  5 Rh 3.09-3.37, 3 Ga 3.26-3.38
Sr (0.9731, 0.8927, 0.8622)  5 Rh 3.09-3.37, 3 Ga 3.26-3.38
Ga (0.1263, 0.5968, 0.3723)  4 Rh 2.50-2.58
Ga (0.1263, 0.9032, 0.3723)  4 Rh 2.50-2.58
Ga (0.3737, 0.0968, 0.8723)  4 Rh 2.50-2.58
Ga (0.3737, 0.4032, 0.8723)  4 Rh 2.50-2.58
Ga (0.6263, 0.5968, 0.1277)  4 Rh 2.50-2.58
Ga (0.6263, 0.9032, 0.1277)  4 Rh 2.50-2.58
Ga (0.8737, 0.0968, 0.6277)  4 Rh 2.50-2.58
Ga (0.8737, 0.4032, 0.6277)  4 Rh 2.50-2.58
Rh (0.1613, 0.0390, 0.6116)  3 Ga 2.50-2.53
Rh (0.1613, 0.4610, 0.6116)  3 Ga 2.50-2.53
Rh (0.1768, 0.7500, 0.5495)  2 Ga 2.58
Rh (0.3232, 0.2500, 0.0495)  2 Ga 2.58
Rh (0.3387, 0.5390, 0.1116)  3 Ga 2.50-2.53
Rh (0.3387, 0.9610, 0.1116)  3 Ga 2.50-2.53
Rh (0.6613, 0.0390, 0.8884)  3 Ga 2.50-2.53
Rh (0.6613, 0.4610, 0.8884)  3 Ga 2.50-2.53
Rh (0.6768, 0.7500, 0.9505)  2 Ga 2.58
Rh (0.8232, 0.2500, 0.4505)  2 Ga 2.58
Rh (0.8387, 0.5390, 0.3884)  3 Ga 2.50-2.53
Rh (0.8387, 0.9610, 0.3884)  3 Ga 2.50-2.53

Size of the total moment in μB per formula unit: 0.000
Formation enthalpy at 0 K in eV per atom: -0.51
Volume in A^3/atom: 23.554
Crystal system: orthorhombic